CuPCl3: optimized geometry, PBE-GGA.

Uncorrected formation energy: 134 meV per atom
Energy above the most stable polymorph in this dataset: 0.463 eV/atom

Geometry as POSCAR:
```
CuPCl3
1.0
0.352 5.379 4.615
-2.283 -6.369 2.142
8.234 -2.272 2.020
Cu P Cl
2 2 6
Direct
0.667 0.333 0.759 Cu
0.333 0.667 0.259 Cu
0.000 0.000 0.918 P
0.000 0.000 0.418 P
0.300 0.150 0.309 Cl
0.850 0.150 0.309 Cl
0.850 0.700 0.309 Cl
0.700 0.850 0.809 Cl
0.150 0.850 0.809 Cl
0.150 0.300 0.809 Cl
```